# InGa2Au7

A relaxed structure of InGa2Au7 (PBE-GGA, Alexandria via LeMat-Bulk).

Calculated formation energy = -0.080 eV per atom
Calculated volume = 19.0 A^3/atom
D(E_F) = 2.966 states/eV/f.u.
Energy = -3.253 eV/atom
Excess energy over the best structure of this formula in the dataset = 0.00 eV per formula unit

The structure in CIF format:
```
data_InGa2Au7
_chemical_formula_sum 'In2 Ga4 Au14'
_space_group_name_H-M_alt 'P 1'
_space_group_IT_number 1
_space_group_name_Hall 'P 1'
_cell_length_a 5.622
_cell_length_b 7.390
_cell_length_c 10.570
_cell_angle_alpha 71.89
_cell_angle_beta 74.58
_cell_angle_gamma 67.64
loop_
_atom_site_label
_atom_site_fract_x
_atom_site_fract_y
_atom_site_fract_z
Au1 0.432 0.225 0.493
Au2 0.870 0.388 0.459
Au3 0.151 0.275 0.007
Au4 0.717 0.112 0.041
Au5 0.652 0.536 0.866
Au6 0.054 0.964 0.634
Au7 0.946 0.036 0.366
Au8 0.348 0.464 0.134
Au9 0.428 0.750 0.250
Au10 0.572 0.250 0.750
Au11 0.568 0.775 0.507
Au12 0.283 0.888 0.959
Au13 0.849 0.725 0.993
Au14 0.130 0.612 0.541
Ga1 0.391 0.107 0.290
Ga2 0.212 0.607 0.790
Ga3 0.788 0.393 0.210
Ga4 0.609 0.893 0.710
In1 0.068 0.250 0.750
In2 0.932 0.750 0.250
```



# In3Ga5Au12

A relaxed structure of In3Ga5Au12 (PBE-GGA, Alexandria via LeMat-Bulk).

Calculated formation energy = -0.022 eV per atom
Calculated volume = 23.6 A^3/atom
D(E_F) = 7.098 states/eV/f.u.
Energy = -3.156 eV/atom

The structure in CIF format:
```
data_In3Ga5Au12
_chemical_formula_sum 'In12 Ga20 Au48'
_space_group_name_H-M_alt 'P 1'
_space_group_IT_number 1
_space_group_name_Hall 'P 1'
_cell_length_a 13.490
_cell_length_b 13.490
_cell_length_c 13.490
_cell_angle_alpha 109.47
_cell_angle_beta 109.47
_cell_angle_gamma 109.47
loop_
_atom_site_label
_atom_site_fract_x
_atom_site_fract_y
_atom_site_fract_z
Au1 0.222 0.666 0.087
Au2 0.666 0.444 0.579
Au3 0.666 0.222 0.587
Au4 0.722 0.135 0.056
Au5 0.421 0.056 0.334
Au6 0.135 0.722 0.556
Au7 0.413 0.135 0.579
Au8 0.921 0.087 0.865
Au9 0.587 0.722 0.666
Au10 0.778 0.444 0.365
Au11 0.087 0.921 0.365
Au12 0.365 0.944 0.778
Au13 0.278 0.413 0.834
Au14 0.056 0.635 0.722
Au15 0.587 0.865 0.421
Au16 0.834 0.921 0.056
Au17 0.556 0.334 0.921
Au18 0.421 0.365 0.587
Au19 0.087 0.166 0.222
Au20 0.635 0.579 0.913
Au21 0.579 0.635 0.413
Au22 0.444 0.666 0.079
Au23 0.135 0.413 0.079
Au24 0.921 0.834 0.556
Au25 0.556 0.222 0.135
Au26 0.834 0.913 0.278
Au27 0.278 0.865 0.944
Au28 0.865 0.278 0.444
Au29 0.166 0.087 0.722
Au30 0.166 0.079 0.944
Au31 0.079 0.913 0.135
Au32 0.579 0.944 0.666
Au33 0.944 0.579 0.166
Au34 0.365 0.421 0.087
Au35 0.778 0.334 0.913
Au36 0.913 0.834 0.778
Au37 0.722 0.587 0.166
Au38 0.444 0.778 0.865
Au39 0.079 0.166 0.444
Au40 0.222 0.556 0.635
Au41 0.413 0.278 0.334
Au42 0.944 0.365 0.278
Au43 0.056 0.421 0.834
Au44 0.334 0.556 0.421
Au45 0.334 0.778 0.413
Au46 0.865 0.587 0.921
Au47 0.635 0.056 0.222
Au48 0.913 0.079 0.635
In1 0.125 0.875 0.750
In2 0.250 0.625 0.875
In3 0.125 0.250 0.875
In4 0.375 0.750 0.625
In5 0.625 0.375 0.750
In6 0.750 0.875 0.625
In7 0.750 0.375 0.125
In8 0.875 0.125 0.250
In9 0.625 0.250 0.375
In10 0.875 0.750 0.125
In11 0.375 0.625 0.250
In12 0.250 0.125 0.375
Ga1 0.625 0.875 0.250
Ga2 0.750 0.125 0.875
Ga3 0.875 0.625 0.750
Ga4 0.250 0.875 0.125
Ga5 0.125 0.750 0.375
Ga6 0.375 0.250 0.125
Ga7 0.875 0.250 0.625
Ga8 0.500 0.500 0.000
Ga9 0.500 0.500 0.500
Ga10 0.375 0.125 0.750
Ga11 0.125 0.375 0.250
Ga12 0.000 0.000 0.500
Ga13 0.500 0.000 0.500
Ga14 0.500 0.000 0.000
Ga15 0.625 0.750 0.875
Ga16 0.000 0.500 0.500
Ga17 0.750 0.625 0.375
Ga18 0.000 0.000 0.000
Ga19 0.000 0.500 0.000
Ga20 0.250 0.375 0.625
```



# In2GaAu2

A relaxed structure of In2GaAu2 (PBE-GGA, Alexandria via LeMat-Bulk).

Calculated formation energy = -0.092 eV per atom
Calculated volume = 22.2 A^3/atom
D(E_F) = 2.264 states/eV/f.u.
Energy = -3.104 eV/atom
Excess energy over the best structure of this formula in the dataset = 0.42 eV per formula unit

The structure in CIF format:
```
data_In2GaAu2
_chemical_formula_sum 'In4 Ga2 Au4'
_space_group_name_H-M_alt 'P 1'
_space_group_IT_number 1
_space_group_name_Hall 'P 1'
_cell_length_a 7.209
_cell_length_b 7.209
_cell_length_c 4.270
_cell_angle_alpha 90.00
_cell_angle_beta 90.00
_cell_angle_gamma 90.00
loop_
_atom_site_label
_atom_site_fract_x
_atom_site_fract_y
_atom_site_fract_z
In1 0.663 0.837 0.500
In2 0.837 0.337 0.500
In3 0.337 0.163 0.500
In4 0.163 0.663 0.500
Ga1 0.000 0.000 0.000
Ga2 0.500 0.500 0.000
Au1 0.145 0.355 0.000
Au2 0.855 0.645 0.000
Au3 0.645 0.145 0.000
Au4 0.355 0.855 0.000
```



# In2GaAu7

A relaxed structure of In2GaAu7 (PBE-GGA, Alexandria via LeMat-Bulk).

Calculated formation energy = -0.030 eV per atom
Calculated volume = 21.8 A^3/atom
D(E_F) = 2.976 states/eV/f.u.
Energy = -3.174 eV/atom

The structure in CIF format:
```
data_In2GaAu7
_chemical_formula_sum 'In2 Ga1 Au7'
_space_group_name_H-M_alt 'P 1'
_space_group_IT_number 1
_space_group_name_Hall 'P 1'
_cell_length_a 3.318
_cell_length_b 9.451
_cell_length_c 9.451
_cell_angle_alpha 132.74
_cell_angle_beta 90.00
_cell_angle_gamma 90.00
loop_
_atom_site_label
_atom_site_fract_x
_atom_site_fract_y
_atom_site_fract_z
Au1 0.000 0.201 0.799
Au2 0.500 0.102 0.281
Au3 0.500 0.281 0.102
Au4 0.500 0.719 0.898
Au5 0.000 0.799 0.201
Au6 0.500 0.898 0.719
Au7 0.500 0.500 0.500
In1 0.500 0.673 0.327
In2 0.500 0.327 0.673
Ga1 0.000 0.000 0.000
```